A plane-wave DFT calculation with PBE-GGA was carried out for a relaxed structure of Tb4Bi3Se.

volume: 30.2 A^3/atom
energy: -42.326 eV for the cell shown
formation energy (no corrections): -104.7 kJ per mole of atoms
ρ: 9.23 g cm⁻³

Lattice parameters (Å, degrees): 7.621 7.621 4.405 90.00 90.00 109.44
Element x y z (fractional)
Tb1 0.241 0.241 0.500
Tb2 0.245 0.755 0.000
Tb3 0.755 0.245 0.000
Tb4 0.759 0.759 0.500
Bi1 0.000 0.500 0.500
Bi2 0.500 0.000 0.500
Bi3 0.500 0.500 0.000
Se1 0.000 0.000 0.000


A plane-wave DFT calculation with PBE-GGA was carried out for a relaxed structure of Rb2CdSnHg.

volume: 56.7 A^3/atom
energy: -7.231 eV for the cell shown
ρ: 3.53 g cm⁻³

Lattice parameters (Å, degrees): 7.201 7.201 5.463 90.00 90.00 90.00
Element x y z (fractional)
Rb1 0.000 0.500 0.000
Rb2 0.500 0.000 0.000
Cd1 0.000 0.000 0.500
Sn1 0.000 0.000 0.000
Hg1 0.500 0.500 0.500


A plane-wave DFT calculation with PBE-GGA was carried out for a relaxed structure of SrPmIr.

volume: 32.1 A^3/atom
energy: -32.960 eV for the cell shown
ρ: 7.33 g cm⁻³
E above lowest polymorph: 32 meV/atom

Lattice parameters (Å, degrees): 11.511 11.511 4.321 90.00 90.00 160.35
Element x y z (fractional)
Sr1 0.180 0.820 0.750
Sr2 0.820 0.180 0.250
Pm1 0.438 0.562 0.750
Pm2 0.562 0.438 0.250
Ir1 0.044 0.956 0.750
Ir2 0.956 0.044 0.250


A plane-wave DFT calculation with PBE-GGA was carried out for a relaxed structure of Ta2AlAs.

volume: 16.8 A^3/atom
energy: -31.703 eV for the cell shown
ρ: 11.44 g cm⁻³
E above lowest polymorph: 315 meV/atom

Lattice parameters (Å, degrees): 4.566 4.566 4.566 60.00 60.00 60.00
Element x y z (fractional)
Ta1 0.250 0.250 0.250
Ta2 0.750 0.750 0.750
Al1 0.000 0.000 0.000
As1 0.500 0.500 0.500


A plane-wave DFT calculation with PBE-GGA was carried out for a relaxed structure of LaNd7Y4.

volume: 35.2 A^3/atom
energy: -61.448 eV for the cell shown
ρ: 5.91 g cm⁻³

Lattice parameters (Å, degrees): 6.816 6.816 12.895 114.83 114.83 53.06
Element x y z (fractional)
La1 0.000 0.000 0.000
Nd1 0.059 0.059 0.331
Nd2 0.208 0.208 0.920
Nd3 0.369 0.369 0.497
Nd4 0.500 0.500 0.000
Nd5 0.631 0.631 0.503
Nd6 0.792 0.792 0.080
Nd7 0.941 0.941 0.669
Y1 0.254 0.254 0.685
Y2 0.366 0.366 0.225
Y3 0.634 0.634 0.775
Y4 0.746 0.746 0.315


A plane-wave DFT calculation with PBE-GGA was carried out for a relaxed structure of Ta3Cd.

volume: 18.8 A^3/atom
energy: -70.511 eV for the cell shown
ρ: 14.47 g cm⁻³
E above lowest polymorph: 188 meV/atom

Lattice parameters (Å, degrees): 5.986 5.986 4.847 90.00 90.00 120.00
Element x y z (fractional)
Ta1 0.161 0.321 0.250
Ta2 0.161 0.839 0.250
Ta3 0.321 0.161 0.750
Ta4 0.679 0.839 0.250
Ta5 0.839 0.161 0.750
Ta6 0.839 0.679 0.750
Cd1 0.333 0.667 0.750
Cd2 0.667 0.333 0.250


A plane-wave DFT calculation with PBE-GGA was carried out for a relaxed structure of Ti5NbC4.

volume: 12.4 A^3/atom
energy: -93.163 eV for the cell shown
ρ: 5.08 g cm⁻³

Lattice parameters (Å, degrees): 6.862 6.862 6.169 104.39 104.39 26.26
Element x y z (fractional)
Ti1 0.000 0.000 0.000
Ti2 0.334 0.334 0.177
Ti3 0.335 0.335 0.646
Ti4 0.665 0.665 0.354
Ti5 0.666 0.666 0.823
Nb1 0.000 0.000 0.500
C1 0.173 0.173 0.597
C2 0.497 0.497 0.239
C3 0.503 0.503 0.761
C4 0.827 0.827 0.403


A plane-wave DFT calculation with PBE-GGA was carried out for a relaxed structure of RbAg2Cl4.

volume: 35.6 A^3/atom
energy: -19.454 eV for the cell shown
formation energy (no corrections): -74.4 kJ per mole of atoms
ρ: 2.96 g cm⁻³
E above lowest polymorph: 0 meV/atom

Lattice parameters (Å, degrees): 5.641 5.641 7.823 90.00 90.00 90.00
Element x y z (fractional)
Rb1 0.000 0.000 0.000
Ag1 0.000 0.500 0.500
Ag2 0.500 0.000 0.500
Cl1 0.274 0.274 0.699
Cl2 0.274 0.726 0.301
Cl3 0.726 0.274 0.301
Cl4 0.726 0.726 0.699


> volume of number 7 (Ti5NbC4)?

12.4 A^3/atom